# 1
# K3Tm2TlSe6 PBE relaxed
data_K3Tm2TlSe6
_symmetry_space_group_name_H-M 'C 1 2/m 1'
_symmetry_Int_Tables_number 12
_symmetry_space_group_name_Hall '-C 2y'
_cell_length_a 7.2530
_cell_length_b 12.5538
_cell_length_c 8.0849
_cell_angle_alpha 90.00
_cell_angle_beta 107.38
_cell_angle_gamma 90.00
loop_
_atom_site_label
_atom_site_type_symbol
_atom_site_fract_x
_atom_site_fract_y
_atom_site_fract_z
K1 K 0.0000 0.0000 0.0000
K2 K 0.0000 0.3357 0.0000
Tm1 Tm 0.0000 0.1668 0.5000
Tl1 Tl 0.0000 0.5000 0.5000
Se1 Se 0.2284 0.0000 0.7044
Se2 Se 0.2378 0.3304 0.7046
# Electronic total energy in eV/atom: -4.30
# Raw formation energy in kJ/mol of atoms: -129.1

# 2
# KUTl2Se6 PBE relaxed
data_KUTl2Se6
_symmetry_space_group_name_H-M 'P 1 21/c 1'
_symmetry_Int_Tables_number 14
_symmetry_space_group_name_Hall '-P 2ybc'
_cell_length_a 7.5671
_cell_length_b 7.4755
_cell_length_c 13.4297
_cell_angle_alpha 90.00
_cell_angle_beta 120.40
_cell_angle_gamma 90.00
loop_
_atom_site_label
_atom_site_type_symbol
_atom_site_fract_x
_atom_site_fract_y
_atom_site_fract_z
K1 K 0.0000 0.0000 0.0000
U1 U 0.5000 0.0000 0.5000
Tl1 Tl 0.1777 0.0189 0.7340
Se1 Se 0.1867 0.1070 0.2780
Se2 Se 0.2400 0.6239 0.0621
Se3 Se 0.4989 0.1805 0.0815
# DOS at the Fermi energy in states/eV/cell: 11.2
# Electronic total energy in eV/atom: -4.40
# Raw formation energy in kJ/mol of atoms: -57.2

# 3
# KU2Tl3Se6 PBE relaxed
data_KU2Tl3Se6
_symmetry_space_group_name_H-M 'C 1 2/m 1'
_symmetry_Int_Tables_number 12
_symmetry_space_group_name_Hall '-C 2y'
_cell_length_a 19.8668
_cell_length_b 4.2509
_cell_length_c 9.2666
_cell_angle_alpha 90.00
_cell_angle_beta 105.53
_cell_angle_gamma 90.00
loop_
_atom_site_label
_atom_site_type_symbol
_atom_site_fract_x
_atom_site_fract_y
_atom_site_fract_z
K1 K 0.0000 0.0000 0.0000
U1 U 0.1719 0.5000 0.3348
Tl1 Tl 0.0000 0.0000 0.5000
Tl2 Tl 0.1585 0.5000 0.8305
Se1 Se 0.0322 0.5000 0.2702
Se2 Se 0.1774 0.0000 0.5526
Se3 Se 0.1780 0.0000 0.1302
# DOS at the Fermi energy in states/eV/cell: 28.3
# Electronic total energy in eV/atom: -5.22
# Raw formation energy in kJ/mol of atoms: -87.8

# 4
# K3U3TlSe8 PBE relaxed
data_K3U3TlSe8
_symmetry_space_group_name_H-M 'R -3 m'
_symmetry_Int_Tables_number 166
_symmetry_space_group_name_Hall '-R 3 2"'
_cell_length_a 8.6227
_cell_length_b 8.6227
_cell_length_c 22.6062
_cell_angle_alpha 90.00
_cell_angle_beta 90.00
_cell_angle_gamma 120.00
loop_
_atom_site_label
_atom_site_type_symbol
_atom_site_fract_x
_atom_site_fract_y
_atom_site_fract_z
K1 K 0.0000 0.5000 0.0000
U1 U 0.0000 0.5000 0.5000
Tl1 Tl 0.0000 0.0000 0.5000
Se1 Se 0.0000 0.0000 0.2358
Se2 Se 0.0354 0.5177 0.7652
# DOS at the Fermi energy in states/eV/cell: 40.5
# Electronic total energy in eV/atom: -5.63
# Raw formation energy in kJ/mol of atoms: -109.7

# 5
# KUTl2Se4 PBE relaxed
data_KUTl2Se4
_symmetry_space_group_name_H-M 'P 1 2/m 1'
_symmetry_Int_Tables_number 10
_symmetry_space_group_name_Hall '-P 2y'
_cell_length_a 7.8550
_cell_length_b 4.2890
_cell_length_c 7.9626
_cell_angle_alpha 90.00
_cell_angle_beta 108.05
_cell_angle_gamma 90.00
loop_
_atom_site_label
_atom_site_type_symbol
_atom_site_fract_x
_atom_site_fract_y
_atom_site_fract_z
K1 K 0.0000 0.0000 0.0000
U1 U 0.5000 0.5000 0.0000
Tl1 Tl 0.0000 0.5000 0.5000
Tl2 Tl 0.5000 0.0000 0.5000
Se1 Se 0.2943 0.5000 0.2122
Se2 Se 0.2971 0.0000 0.7940
# DOS at the Fermi energy in states/eV/cell: 5.0
# Electronic total energy in eV/atom: -4.76
# Raw formation energy in kJ/mol of atoms: -84.8

# 6
# K2UTlSe6 PBE relaxed
data_K2UTlSe6
_symmetry_space_group_name_H-M 'P 1 21/c 1'
_symmetry_Int_Tables_number 14
_symmetry_space_group_name_Hall '-P 2ybc'
_cell_length_a 7.9168
_cell_length_b 7.8485
_cell_length_c 12.6740
_cell_angle_alpha 90.00
_cell_angle_beta 126.24
_cell_angle_gamma 90.00
loop_
_atom_site_label
_atom_site_type_symbol
_atom_site_fract_x
_atom_site_fract_y
_atom_site_fract_z
K1 K 0.2254 0.0518 0.2434
U1 U 0.5000 0.0000 0.0000
Tl1 Tl 0.0000 0.0000 0.5000
Se1 Se 0.1962 0.2022 0.9590
Se2 Se 0.2563 0.7354 0.9540
Se3 Se 0.3569 0.0234 0.7464
# DOS at the Fermi energy in states/eV/cell: 17.1
# Electronic total energy in eV/atom: -4.39
# Raw formation energy in kJ/mol of atoms: -68.9

# 7
# KTlVSe3 PBE relaxed
data_KTlVSe3
_symmetry_space_group_name_H-M 'C 1 2/c 1'
_symmetry_Int_Tables_number 15
_symmetry_space_group_name_Hall '-C 2yc'
_cell_length_a 7.4756
_cell_length_b 15.4233
_cell_length_c 6.4655
_cell_angle_alpha 90.00
_cell_angle_beta 108.44
_cell_angle_gamma 90.00
loop_
_atom_site_label
_atom_site_type_symbol
_atom_site_fract_x
_atom_site_fract_y
_atom_site_fract_z
K1 K 0.0000 0.2403 0.2500
Tl1 Tl 0.0000 0.3984 0.7500
V1 V 0.0000 0.0357 0.7500
Se1 Se 0.0000 0.1928 0.7500
Se2 Se 0.2214 0.0495 0.5200
# DOS at the Fermi energy in states/eV/cell: 8.0
# Electronic total energy in eV/atom: -4.55
# Raw formation energy in kJ/mol of atoms: -68.4

# 8
# KTl2WSe4 PBE relaxed
data_KTl2WSe4
_symmetry_space_group_name_H-M 'I -4'
_symmetry_Int_Tables_number 82
_symmetry_space_group_name_Hall 'I -4'
_cell_length_a 8.4665
_cell_length_b 8.4665
_cell_length_c 8.0257
_cell_angle_alpha 90.00
_cell_angle_beta 90.00
_cell_angle_gamma 90.00
loop_
_atom_site_label
_atom_site_type_symbol
_atom_site_fract_x
_atom_site_fract_y
_atom_site_fract_z
K1 K 0.0000 0.0000 0.0000
Tl1 Tl 0.0000 0.0000 0.5000
Tl2 Tl 0.0000 0.5000 0.7500
W1 W 0.0000 0.5000 0.2500
Se1 Se 0.1560 0.3345 0.4232
# DOS at the Fermi energy in states/eV/cell: 7.7
# Electronic total energy in eV/atom: -4.55
# Raw formation energy in kJ/mol of atoms: -44.2